#i
# Th3Sb

Th3Sb after structural relaxation (PBE, Alexandria).

ρ = 11.45 g cm⁻³
Space-group type = Pm-3m (221)

Cell: 4.9108 4.9107 4.9185 Å, 90.00 90.00 90.00°
Last column: nearest neighbours and their distance in Å.
Sites, in units of the cell vectors:
Sb 0.0000 0.5000 0.4167  12 Th 3.47-3.48
Th 0.0000 0.0000 0.9168  8 Th 3.47-3.48, 4 Sb 3.47-3.48
Th 0.5000 0.0000 0.4166  4 Sb 3.47, 8 Th 3.47-3.48
Th 0.5000 0.5000 0.9166  8 Th 3.47-3.48, 4 Sb 3.47-3.48

#ii
# Th3Sb

Th3Sb after structural relaxation (PBE, Alexandria).

ρ = 11.31 g cm⁻³
Space-group type = I4/mmm (139)

Cell: 4.8400 4.8400 6.1649 Å, 113.11 113.11 90.00°
Last column: nearest neighbours and their distance in Å.
Sites, in units of the cell vectors:
Sb 0.0000 0.0000 0.0000  12 Th 3.42-3.53
Th 0.7500 0.2500 0.5000  8 Th 3.42-3.53, 4 Sb 3.53
Th 0.2500 0.7500 0.5000  8 Th 3.42-3.53, 4 Sb 3.53
Th 0.5000 0.5000 0.0000  4 Sb 3.42, 8 Th 3.53

Most stable of them? #i.